Below is a geometry-optimized Er3Ag2Hg3 structure, with properties calculated at the PBE level.

abc: 3.795 7.626 7.626
angles: 120.00 90.00 90.00
Sites, in units of the cell vectors:
Er (0.500, 0.398, 0.398)
Er (0.500, 0.602, 0.000)
Er (0.500, 0.000, 0.602)
Ag (0.000, 0.333, 0.667)
Ag (0.000, 0.667, 0.333)
Hg (0.000, 0.761, 0.761)
Hg (0.000, 0.239, 0.000)
Hg (0.000, 0.000, 0.239)

Output
The value obtained for the formation energy from the elements is -2.720 eV/f.u. For the total DFT energy (no corrections), the calculation gives -23.02 eV for the cell shown. The value obtained for the density is 11.5 g cm⁻³.